Record 1
Material: TaPb2Br
Method: DFT, GGA-PBE
State: relaxed

Geometry as CIF:
```
data_TaPb2Br
_chemical_formula_sum 'Ta2 Pb4 Br2'
_space_group_name_H-M_alt 'I m m 2'
_space_group_IT_number 44
_space_group_name_Hall 'I 2 -2'
_cell_length_a 3.2072
_cell_length_b 5.0490
_cell_length_c 15.1374
_cell_angle_alpha 90.00
_cell_angle_beta 90.00
_cell_angle_gamma 90.00
loop_
_atom_site_label
_atom_site_type_symbol
_atom_site_fract_x
_atom_site_fract_y
_atom_site_fract_z
Ta1 Ta 0.0000 0.0000 0.0000
Pb1 Pb 0.0000 0.0000 0.4753
Pb2 Pb 0.0000 0.5000 0.3195
Br1 Br 0.0000 0.5000 0.6409
```


Record 2
Material: Ta2PbBr2
Method: DFT, GGA-PBE
State: relaxed

Geometry as CIF:
```
data_Ta2PbBr2
_chemical_formula_sum 'Ta4 Pb2 Br4'
_space_group_name_H-M_alt 'I 4/m m m'
_space_group_IT_number 139
_space_group_name_Hall '-I 4 2'
_cell_length_a 4.3304
_cell_length_b 4.3304
_cell_length_c 12.3054
_cell_angle_alpha 90.00
_cell_angle_beta 90.00
_cell_angle_gamma 90.00
loop_
_atom_site_label
_atom_site_type_symbol
_atom_site_fract_x
_atom_site_fract_y
_atom_site_fract_z
Ta1 Ta 0.0000 0.0000 0.1059
Pb1 Pb 0.0000 0.0000 0.5000
Br1 Br 0.0000 0.5000 0.2500
```


Record 3
Material: TaPbBr
Method: DFT, GGA-PBE
State: relaxed

Geometry as CIF:
```
data_TaPbBr
_chemical_formula_sum 'Ta1 Pb1 Br1'
_space_group_name_H-M_alt 'P 3 m 1'
_space_group_IT_number 156
_space_group_name_Hall 'P 3 -2"'
_cell_length_a 3.2839
_cell_length_b 3.2839
_cell_length_c 8.4349
_cell_angle_alpha 90.00
_cell_angle_beta 90.00
_cell_angle_gamma 120.00
loop_
_atom_site_label
_atom_site_type_symbol
_atom_site_fract_x
_atom_site_fract_y
_atom_site_fract_z
Ta1 Ta 0.0000 0.0000 0.0000
Pb1 Pb 0.3333 0.6667 0.6985
Br1 Br 0.6667 0.3333 0.2182
```


Record 4
Material: TaPb2Br
Method: DFT, GGA-PBE
State: relaxed

Geometry as CIF:
```
data_TaPb2Br
_chemical_formula_sum 'Ta3 Pb6 Br3'
_space_group_name_H-M_alt 'R -3 m'
_space_group_IT_number 166
_space_group_name_Hall '-R 3 2"'
_cell_length_a 3.4054
_cell_length_b 3.4054
_cell_length_c 30.0065
_cell_angle_alpha 90.00
_cell_angle_beta 90.00
_cell_angle_gamma 120.00
loop_
_atom_site_label
_atom_site_type_symbol
_atom_site_fract_x
_atom_site_fract_y
_atom_site_fract_z
Ta1 Ta 0.0000 0.0000 0.0000
Pb1 Pb 0.0000 0.0000 0.2519
Br1 Br 0.0000 0.0000 0.5000
```


Record 5
Material: Ta2PbBr
Method: DFT, GGA-PBE
State: relaxed

Geometry as CIF:
```
data_Ta2PbBr
_chemical_formula_sum 'Ta4 Pb2 Br2'
_space_group_name_H-M_alt 'I -4 m 2'
_space_group_IT_number 119
_space_group_name_Hall 'I -4 -2'
_cell_length_a 4.4186
_cell_length_b 4.4186
_cell_length_c 8.5854
_cell_angle_alpha 90.00
_cell_angle_beta 90.00
_cell_angle_gamma 90.00
loop_
_atom_site_label
_atom_site_type_symbol
_atom_site_fract_x
_atom_site_fract_y
_atom_site_fract_z
Ta1 Ta 0.0000 0.0000 0.0000
Ta2 Ta 0.0000 0.5000 0.2500
Pb1 Pb 0.0000 0.0000 0.5000
Br1 Br 0.0000 0.5000 0.7500
```


Record 6
Material: Ta2PbBr
Method: DFT, GGA-PBE
State: relaxed

Geometry as CIF:
```
data_Ta2PbBr
_chemical_formula_sum 'Ta4 Pb2 Br2'
_space_group_name_H-M_alt 'C m m m'
_space_group_IT_number 65
_space_group_name_Hall '-C 2 2'
_cell_length_a 3.0506
_cell_length_b 5.7654
_cell_length_c 9.7068
_cell_angle_alpha 90.00
_cell_angle_beta 90.00
_cell_angle_gamma 90.00
loop_
_atom_site_label
_atom_site_type_symbol
_atom_site_fract_x
_atom_site_fract_y
_atom_site_fract_z
Ta1 Ta 0.0000 0.0000 0.2391
Pb1 Pb 0.0000 0.5000 0.5000
Br1 Br 0.0000 0.5000 0.0000
```


Record 7
Material: TaPb2Br
Method: DFT, GGA-PBE
State: relaxed

Geometry as CIF:
```
data_TaPb2Br
_chemical_formula_sum 'Ta1 Pb2 Br1'
_space_group_name_H-M_alt 'P 4 m m'
_space_group_IT_number 99
_space_group_name_Hall 'P 4 -2'
_cell_length_a 3.2129
_cell_length_b 3.2129
_cell_length_c 10.2368
_cell_angle_alpha 90.00
_cell_angle_beta 90.00
_cell_angle_gamma 90.00
loop_
_atom_site_label
_atom_site_type_symbol
_atom_site_fract_x
_atom_site_fract_y
_atom_site_fract_z
Ta1 Ta 0.0000 0.0000 0.0000
Pb1 Pb 0.0000 0.0000 0.4928
Pb2 Pb 0.5000 0.5000 0.7828
Br1 Br 0.5000 0.5000 0.1615
```


Record 8
Material: TaPb2Br
Method: DFT, GGA-PBE
State: relaxed

Geometry as CIF:
```
data_TaPb2Br
_chemical_formula_sum 'Ta3 Pb6 Br3'
_space_group_name_H-M_alt 'R 3 m'
_space_group_IT_number 160
_space_group_name_Hall 'R 3 -2"'
_cell_length_a 3.3550
_cell_length_b 3.3550
_cell_length_c 31.8721
_cell_angle_alpha 90.00
_cell_angle_beta 90.00
_cell_angle_gamma 120.00
loop_
_atom_site_label
_atom_site_type_symbol
_atom_site_fract_x
_atom_site_fract_y
_atom_site_fract_z
Ta1 Ta 0.0000 0.0000 0.0000
Pb1 Pb 0.0000 0.0000 0.5014
Pb2 Pb 0.0000 0.0000 0.7425
Br1 Br 0.0000 0.0000 0.2755
```


Record 9
Material: Ta2PbBr
Method: DFT, GGA-PBE
State: relaxed

Geometry as CIF:
```
data_Ta2PbBr
_chemical_formula_sum 'Ta4 Pb2 Br2'
_space_group_name_H-M_alt 'A m m 2'
_space_group_IT_number 38
_space_group_name_Hall 'A 2 -2'
_cell_length_a 4.7947
_cell_length_b 3.0410
_cell_length_c 11.8484
_cell_angle_alpha 90.00
_cell_angle_beta 90.00
_cell_angle_gamma 90.00
loop_
_atom_site_label
_atom_site_type_symbol
_atom_site_fract_x
_atom_site_fract_y
_atom_site_fract_z
Ta1 Ta 0.0000 0.0000 0.0000
Ta2 Ta 0.5000 0.0000 0.3957
Pb1 Pb 0.0000 0.0000 0.7496
Br1 Br 0.5000 0.0000 0.0839
```


Record 10
Material: TaPbBr
Method: DFT, GGA-PBE
State: relaxed

Geometry as CIF:
```
data_TaPbBr
_chemical_formula_sum 'Ta4 Pb4 Br4'
_space_group_name_H-M_alt 'F m m 2'
_space_group_IT_number 42
_space_group_name_Hall 'F 2 -2'
_cell_length_a 3.6269
_cell_length_b 5.2127
_cell_length_c 16.5536
_cell_angle_alpha 90.00
_cell_angle_beta 90.00
_cell_angle_gamma 90.00
loop_
_atom_site_label
_atom_site_type_symbol
_atom_site_fract_x
_atom_site_fract_y
_atom_site_fract_z
Ta1 Ta 0.0000 0.0000 0.0000
Pb1 Pb 0.0000 0.0000 0.6508
Br1 Br 0.0000 0.0000 0.3825
```


Record 11
Material: Ta2PbBr
Method: DFT, GGA-PBE
State: relaxed

Geometry as CIF:
```
data_Ta2PbBr
_chemical_formula_sum 'Ta6 Pb3 Br3'
_space_group_name_H-M_alt 'R -3 m'
_space_group_IT_number 166
_space_group_name_Hall '-R 3 2"'
_cell_length_a 3.1564
_cell_length_b 3.1564
_cell_length_c 28.1696
_cell_angle_alpha 90.00
_cell_angle_beta 90.00
_cell_angle_gamma 120.00
loop_
_atom_site_label
_atom_site_type_symbol
_atom_site_fract_x
_atom_site_fract_y
_atom_site_fract_z
Ta1 Ta 0.0000 0.0000 0.2462
Pb1 Pb 0.0000 0.0000 0.0000
Br1 Br 0.0000 0.0000 0.5000
```


Record 12
Material: TaPb3Br
Method: DFT, GGA-PBE
State: relaxed

Geometry as CIF:
```
data_TaPb3Br
_chemical_formula_sum 'Ta1 Pb3 Br1'
_space_group_name_H-M_alt 'P m -3 m'
_space_group_IT_number 221
_space_group_name_Hall '-P 4 2 3'
_cell_length_a 5.5405
_cell_length_b 5.5405
_cell_length_c 5.5405
_cell_angle_alpha 90.00
_cell_angle_beta 90.00
_cell_angle_gamma 90.00
loop_
_atom_site_label
_atom_site_type_symbol
_atom_site_fract_x
_atom_site_fract_y
_atom_site_fract_z
Ta1 Ta 0.0000 0.0000 0.0000
Pb1 Pb 0.0000 0.5000 0.5000
Br1 Br 0.5000 0.5000 0.5000
```


Number 1: DOS(E_F) 0.851 states/eV per atom, formation energy from raw total energies 0.2370 eV per atom. Number 2: DOS(E_F) 1.213 states/eV per atom, formation energy from raw total energies 0.6306 eV per atom. Number 3: DOS(E_F) 0.277 states/eV per atom, formation energy from raw total energies -0.0200 eV per atom. Number 4: DOS(E_F) 0.876 states/eV per atom, formation energy from raw total energies 0.3888 eV per atom. Number 5: DOS(E_F) 1.137 states/eV per atom, formation energy from raw total energies 0.8873 eV per atom. Number 6: DOS(E_F) 0.919 states/eV per atom, formation energy from raw total energies 0.7027 eV per atom. Number 7: DOS(E_F) 0.737 states/eV per atom, formation energy from raw total energies 0.2690 eV per atom. Number 8: DOS(E_F) 0.811 states/eV per atom, formation energy from raw total energies 0.0763 eV per atom. Number 9: DOS(E_F) 0.632 states/eV per atom, formation energy from raw total energies 0.4923 eV per atom. Number 10: DOS(E_F) 0.294 states/eV per atom, formation energy from raw total energies 0.2080 eV per atom. Number 11: DOS(E_F) 0.962 states/eV per atom, formation energy from raw total energies 0.6185 eV per atom. Number 12: DOS(E_F) 0.738 states/eV per atom, formation energy from raw total energies 1.3899 eV per atom.